# 1
Computed, not measured: a geometry-optimized La2As3Pd2 structure at the PBE level of DFT.

Cell lengths 4.348, 7.489, 9.630 Å; angles 90.00, 103.05, 90.00 degrees
Fractional positions:
As  0.566  0.458  0.132
La  0.849  0.750  0.699
As  0.434  0.542  0.868
La  0.945  0.250  0.889
Pd  0.301  0.445  0.603
As  0.434  0.958  0.868
La  0.151  0.250  0.301
As  0.777  0.250  0.554
As  0.566  0.042  0.132
Pd  0.301  0.055  0.603
Pd  0.699  0.555  0.397
As  0.223  0.750  0.446
Pd  0.699  0.945  0.397
La  0.055  0.750  0.111

## Properties
Calculated formation energy, eV/atom: -1.02
Total DFT energy (no corrections), eV per atom: -5.900
Fermi-level density of states, states/eV per atom: 0.458



# 2
Computed, not measured: a geometry-optimized SrNiSn2P structure at the PBE level of DFT.

Cell lengths 5.419, 4.262, 5.419 Å; angles 90.00, 90.00, 90.00 degrees
Fractional positions:
P  0.000  0.500  0.000
Sn  0.000  0.000  0.500
Sr  0.500  0.500  0.500
Ni  0.000  0.000  0.000
Sn  0.500  0.000  0.000

## Properties
Calculated formation energy, eV/atom: -0.16
Total DFT energy (no corrections), eV per atom: -4.336
Fermi-level density of states, states/eV per atom: 0.649



# 3
Computed, not measured: a geometry-optimized HfCuSnOs structure at the PBE level of DFT.

Cell lengths 4.584, 4.584, 4.584 Å; angles 60.00, 60.00, 60.00 degrees
Fractional positions:
Hf  0.750  0.750  0.750
Sn  0.250  0.250  0.250
Cu  0.000  0.000  0.000
Os  0.500  0.500  0.500

## Properties
Calculated formation energy, eV/atom: -0.16
Total DFT energy (no corrections), eV per atom: -7.481
Fermi-level density of states, states/eV per atom: 0.735



# 4
Computed, not measured: a geometry-optimized Ca3CuGe2Au6 structure at the PBE level of DFT.

Cell lengths 5.886, 5.886, 8.959 Å; angles 90.00, 90.00, 120.00 degrees
Fractional positions:
Au  0.663  0.832  0.282
Ge  0.333  0.667  0.044
Ca  0.000  0.000  0.000
Au  0.832  0.663  0.718
Ca  0.333  0.667  0.606
Ca  0.667  0.333  0.394
Au  0.168  0.832  0.282
Ge  0.667  0.333  0.956
Au  0.337  0.168  0.718
Au  0.832  0.168  0.718
Cu  0.000  0.000  0.500
Au  0.168  0.337  0.282

## Properties
Calculated formation energy, eV/atom: -0.41
Total DFT energy (no corrections), eV per atom: -3.656
Fermi-level density of states, states/eV per atom: 0.499



# 5
Computed, not measured: a geometry-optimized BaCuBi structure at the PBE level of DFT.

Cell lengths 5.690, 4.766, 7.294 Å; angles 90.01, 90.01, 90.00 degrees
Fractional positions:
Bi  0.124  0.032  0.348
Cu  0.418  0.032  0.653
Ba  0.637  0.533  0.369
Bi  0.466  0.532  0.848
Ba  0.953  0.033  0.869
Cu  0.171  0.532  0.153

## Properties
Calculated formation energy, eV/atom: -0.44
Total DFT energy (no corrections), eV per atom: -3.736
Fermi-level density of states, states/eV per atom: 0.020



# 6
Computed, not measured: a geometry-optimized ZrP2Ru structure at the PBE level of DFT.

Cell lengths 3.302, 3.503, 5.464 Å; angles 90.00, 90.00, 90.00 degrees
Fractional positions:
P  0.000  0.000  0.977
Ru  0.000  0.000  0.428
Zr  0.500  0.500  0.799
P  0.500  0.500  0.296

## Properties
Calculated formation energy, eV/atom: -0.61
Polymorph energy (0 for the lowest one), eV/atom: 0.207
Total DFT energy (no corrections), eV per atom: -7.776
Fermi-level density of states, states/eV per atom: 0.663



# 7
Computed, not measured: a geometry-optimized LaSb3Pd6 structure at the PBE level of DFT.

Cell lengths 7.437, 8.563, 5.782 Å; angles 93.43, 111.45, 136.85 degrees
Fractional positions:
Sb  0.301  0.587  0.939
Pd  0.721  0.338  0.613
Sb  0.077  0.977  0.350
Pd  0.889  0.172  0.292
Pd  0.244  0.817  0.175
Pd  0.430  0.418  0.260
Sb  0.750  0.386  0.166
La  0.752  0.930  0.684
Pd  0.523  0.486  0.798
Pd  0.313  0.889  0.724

## Properties
Formation energy without anion corrections, kJ per mole of atoms: -55.4
Total DFT energy (no corrections), eV per atom: -5.420
Fermi-level density of states, states/eV per atom: 0.435



# 8
Computed, not measured: a geometry-optimized MnCo2Re structure at the PBE level of DFT.

Cell lengths 8.337, 8.337, 8.337 Å; angles 17.93, 17.93, 17.93 degrees
Site moments in Bohr magnetons follow the coordinates.
Fractional positions:
Co  0.997  0.997  0.997  -0.01
Re  0.750  0.750  0.750  -0.06
Co  0.503  0.503  0.503  -0.01
Mn  0.250  0.250  0.250  1.14

## Properties
Calculated formation energy, eV/atom: 0.21
Polymorph energy (0 for the lowest one), eV/atom: 0.196
Total DFT energy (no corrections), eV per atom: -8.749
Fermi-level density of states, states/eV per atom: 1.012